[1]
Computed, not measured: an optimized crystal structure of Ac12Sb3Ir5 at the PBE level of DFT.

Summary:
**Final energy**: -5.82 eV/atom
**Total moment**: 0.00 μB per atom

a b c (Å): 18.487 18.487 18.487
angles (deg): 90.00 90.00 90.00
Space group Ia-3d (No. 230)
Unique sites:
Ac  0.028  0.056  0.648
Sb  0.000  0.250  0.125
Ir  0.000  0.000  0.000
Ir  0.000  0.250  0.375

[2]
Computed, not measured: an optimized crystal structure of AcSbIr at the PBE level of DFT.

Summary:
**Polymorph energy (0 for the lowest one)**: 0.011 eV/atom
**Final energy**: -6.47 eV/atom
**Total moment**: 0.00 μB per atom

a b c (Å): 4.5855 4.5855 4.4729
angles (deg): 90.00 90.00 120.00
Space group P-6m2 (No. 187)
Unique sites:
Ac  0.0000  0.0000  0.0000
Sb  0.3333  0.6667  0.5000
Ir  0.6667  0.3333  0.5000

[3]
Computed, not measured: an optimized crystal structure of Ac12SbIr6 at the PBE level of DFT.

Summary:
**Final energy**: -6.17 eV/atom
**Total moment**: 0.00 μB per atom

a b c (Å): 10.878 10.878 10.878
angles (deg): 90.00 90.00 90.00
Space group Im-3 (No. 204)
Unique sites:
Ac  0.000  0.180  0.315
Sb  0.000  0.000  0.000
Ir  0.000  0.370  0.500

[4]
Computed, not measured: an optimized crystal structure of AcSbIr at the PBE level of DFT.

Summary:
**Polymorph energy (0 for the lowest one)**: 0.088 eV/atom
**Final energy**: -6.39 eV/atom
**Total moment**: 0.00 μB per atom

a b c (Å): 6.724 7.152 7.698
angles (deg): 73.65 74.23 87.28
Space group P-1 (No. 2)
Unique sites:
Ac  0.218  0.355  0.332
Ac  0.260  0.197  0.849
Sb  0.221  0.871  0.296
Sb  0.264  0.677  0.897
Ir  0.112  0.930  0.653
Ir  0.346  0.603  0.556

[5]
Computed, not measured: an optimized crystal structure of Ac3Sb3Ir2 at the PBE level of DFT.

Summary:
**Final energy**: -6.12 eV/atom
**Total moment**: 0.00 μB per atom

a b c (Å): 4.764 11.709 15.994
angles (deg): 90.00 90.00 90.00
Space group Cmcm (No. 63)
Unique sites:
Ac  0.000  0.081  0.107
Ac  0.000  0.367  0.250
Sb  0.000  0.333  0.750
Sb  0.000  0.357  0.035
Ir  0.000  0.195  0.604

[6]
Computed, not measured: an optimized crystal structure of Ac3Sb4Ir2 at the PBE level of DFT.

Summary:
**Polymorph energy (0 for the lowest one)**: 0.000 eV/atom
**Final energy**: -5.96 eV/atom
**Total moment**: 0.00 μB per atom

a b c (Å): 12.312 4.833 8.963
angles (deg): 90.00 100.60 90.00
Space group C2/m (No. 12)
Unique sites:
Ac  0.000  0.000  0.000
Ac  0.149  0.500  0.659
Sb  0.081  0.000  0.389
Sb  0.226  0.500  0.085
Ir  0.089  0.500  0.277

[7]
Computed, not measured: an optimized crystal structure of AcSbIr at the PBE level of DFT.

Summary:
**Polymorph energy (0 for the lowest one)**: 0.218 eV/atom
**Final energy**: -6.26 eV/atom
**Total moment**: 0.00 μB per atom

a b c (Å): 6.974 6.974 6.974
angles (deg): 90.00 90.00 90.00
Space group F-43m (No. 216)
Unique sites:
Ac  0.000  0.000  0.000
Sb  0.000  0.000  0.500
Ir  0.250  0.250  0.250

[8]
Computed, not measured: an optimized crystal structure of Ac6SbIr3 at the PBE level of DFT.

Summary:
**Final energy**: -6.25 eV/atom
**Total moment**: 0.00 μB per atom

a b c (Å): 12.581 4.472 12.816
angles (deg): 90.00 107.65 90.00
Space group P2_1/m (No. 11)
Unique sites:
Ac  0.029  0.250  0.391
Ac  0.108  0.250  0.945
Ac  0.210  0.750  0.261
Ac  0.289  0.750  0.763
Ac  0.358  0.250  0.536
Ac  0.422  0.750  0.087
Sb  0.447  0.250  0.309
Ir  0.048  0.250  0.164
Ir  0.182  0.750  0.496
Ir  0.344  0.250  0.918